[1]
The following is a GGA-PBE calculation of a relaxed structure of Ta2TlPt, from Alexandria via LeMat-Bulk.

The space group is R-3m (No. 166, hexagonal axes) and the conventional cell measures 2.9876, 2.9876 and 29.0063 Å, with angles of 90.00, 90.00 and 120.00 degrees. The inequivalent atoms are Ta at (0.0000, 0.0000, 0.2449), Tl at (0.0000, 0.0000, 0.0000) and Pt at (0.0000, 0.0000, 0.5000).

The calculation puts the energy relative to the elements at 0.17 eV/atom. For the theoretical density, the calculation gives 16.9 g/cm3. The volume is 224.2 Å³/cell. The excess energy over the best structure of this formula in the dataset comes out at 0.156 eV per atom. As for the electronic total energy: -94.30 eV per cell.


[2]
The following is a GGA-PBE calculation of a relaxed structure of TlSi2Au, from Alexandria via LeMat-Bulk.

The space group is Cmmm (No. 65) and the conventional cell measures 3.211, 5.213 and 9.959 Å, with angles of 90.00, 90.00 and 90.00 degrees. The inequivalent atoms are Tl at (0.000, 0.000, 0.000), Si at (0.000, 0.500, 0.291) and Au at (0.000, 0.000, 0.500).

For the theoretical density, the calculation gives 9.1 g/cm3. The volume is 166.7 Å³/cell. The excess energy over the best structure of this formula in the dataset comes out at 0.303 eV per atom. As for the formation energy from raw total energies: 1.9 eV per formula unit. As for the electronic total energy: -29.20 eV per cell.


[3]
The following is a GGA-PBE calculation of a relaxed structure of KCdInCl6, from Alexandria via LeMat-Bulk.

The space group is P-31c (No. 163) and the conventional cell measures 6.7963, 6.7963 and 13.8232 Å, with angles of 90.00, 90.00 and 120.00 degrees. The inequivalent atoms are K at (0.0000, 0.0000, 0.0000), Cd at (0.3333, 0.6667, 0.2500), In at (0.3333, 0.6667, 0.7500) and Cl at (0.0118, 0.3771, 0.6425).

For the theoretical density, the calculation gives 2.9 g/cm3. The volume is 552.9 Å³/cell. As for the formation energy from raw total energies: -11.9 eV per formula unit. As for the electronic total energy: -55.44 eV per cell.


[4]
The following is a GGA-PBE calculation of a relaxed structure of IrOs2Pt, from Alexandria via LeMat-Bulk.

The space group is P4/nmm (No. 129, origin choice 2) and the conventional cell measures 2.743, 2.743 and 15.672 Å, with angles of 90.00, 90.00 and 90.00 degrees. The inequivalent atoms are Ir at (0.250, 0.250, 0.188), Os at (0.250, 0.250, 0.694), Os at (0.250, 0.250, 0.943) and Pt at (0.250, 0.250, 0.431).

The calculation puts the energy relative to the elements at 0.06 eV/atom. For the theoretical density, the calculation gives 21.6 g/cm3. The volume is 117.9 Å³/cell. The excess energy over the best structure of this formula in the dataset comes out at 0.000 eV per atom. As for the electronic total energy: -74.20 eV per cell.


[5]
The following is a GGA-PBE calculation of a relaxed structure of HfPdF2, from Alexandria via LeMat-Bulk.

The space group is I-42d (No. 122) and the conventional cell measures 4.075, 4.075 and 14.539 Å, with angles of 90.00, 90.00 and 90.00 degrees. The inequivalent atoms are Hf at (0.000, 0.000, 0.000), Pd at (0.000, 0.000, 0.500) and F at (0.131, 0.250, 0.125).

For the theoretical density, the calculation gives 8.9 g/cm3. The volume is 241.4 Å³/cell. The excess energy over the best structure of this formula in the dataset comes out at 0.000 eV per atom. As for the formation energy from raw total energies: -6.9 eV per formula unit. As for the electronic total energy: -103.30 eV per cell.


[6]
The following is a GGA-PBE calculation of a relaxed structure of SmDyTl2S4, from Alexandria via LeMat-Bulk.

The space group is P2/m (No. 10) and the conventional cell measures 7.065, 4.078 and 7.874 Å, with angles of 90.00, 107.38 and 90.00 degrees. The inequivalent atoms are Sm at (0.000, 0.000, 0.000), Dy at (0.500, 0.500, 0.000), Tl at (0.000, 0.500, 0.500), Tl at (0.500, 0.000, 0.500), S at (0.239, 0.500, 0.201) and S at (0.272, 0.000, 0.801).

For the theoretical density, the calculation gives 6.5 g/cm3. The volume is 216.5 Å³/cell. As for the formation energy from raw total energies: -11.8 eV per formula unit. As for the electronic total energy: -42.39 eV per cell.